No. 1
First-principles (meta-GGA SCAN) data for a PBEsol-optimized structure of Tb2Ga8Fe, as listed in Alexandria via LeMat-Bulk.

Unit cell a=4.1610 b=4.1610 c=11.0087 alpha=90.00 beta=90.00 gamma=90.00
Closest atoms and distances in Å follow each position.
Positions (direct):
Tb (0.0000, 0.0000, 0.1943)  12 Ga 2.94-2.98
Tb (0.0000, 0.0000, 0.8057)  12 Ga 2.94-2.98
Ga (0.0000, 0.5000, 0.0000)  8 Ga 2.94-2.99, 4 Tb 2.98
Ga (0.0000, 0.5000, 0.3846)  2 Fe 2.44, 1 Ga 2.54
Ga (0.0000, 0.5000, 0.6154)  2 Fe 2.44, 1 Ga 2.54
Ga (0.5000, 0.0000, 0.0000)  8 Ga 2.94-2.99, 4 Tb 2.98
Ga (0.5000, 0.0000, 0.3846)  2 Fe 2.44, 1 Ga 2.54
Ga (0.5000, 0.0000, 0.6154)  2 Fe 2.44, 1 Ga 2.54
Ga (0.5000, 0.5000, 0.1950)  4 Tb 2.94, 8 Ga 2.95-2.99
Ga (0.5000, 0.5000, 0.8050)  4 Tb 2.94, 8 Ga 2.95-2.99
Fe (0.0000, 0.0000, 0.5000)  8 Ga 2.44

Computed properties:
Volume = 191 Å³/f.u.
ΔE_f = -0.4915 eV/atom
Density = 8.12 g/cm3
Energy = -22.530 eV/atom



No. 2
First-principles (meta-GGA SCAN) data for a PBEsol-optimized structure of AlW2Cl2, as listed in Alexandria via LeMat-Bulk.

Unit cell a=3.7796 b=3.7796 c=12.0109 alpha=90.00 beta=90.00 gamma=90.00
Closest atoms and distances in Å follow each position.
Positions (direct):
Al (0.0000, 0.0000, 0.0000)  8 W 2.94
Al (0.5000, 0.5000, 0.5000)  8 W 2.94
W (0.0000, 0.0000, 0.3984)  1 W 2.44, 4 Cl 2.60
W (0.0000, 0.0000, 0.6016)  1 W 2.44, 4 Cl 2.60
W (0.5000, 0.5000, 0.1016)  1 W 2.44, 4 Cl 2.60
W (0.5000, 0.5000, 0.8984)  1 W 2.44, 4 Cl 2.60
Cl (0.0000, 0.5000, 0.2500)  4 W 2.60, 4 Cl 2.67
Cl (0.0000, 0.5000, 0.7500)  4 W 2.60, 4 Cl 2.67
Cl (0.5000, 0.0000, 0.2500)  4 W 2.60, 4 Cl 2.67
Cl (0.5000, 0.0000, 0.7500)  4 W 2.60, 4 Cl 2.67

Computed properties:
Volume = 86 Å³/f.u.
Density = 9.01 g/cm3
Energy = -31.819 eV/atom
Formation energy from raw total energies = 0.797 eV per atom



No. 3
First-principles (meta-GGA SCAN) data for a PBEsol-optimized structure of AlSnAsSe2, as listed in Alexandria via LeMat-Bulk.

Unit cell a=5.2200 b=5.2200 c=5.1599 alpha=90.00 beta=90.00 gamma=90.00
Closest atoms and distances in Å follow each position.
Positions (direct):
Al (0.0000, 0.0000, 0.0000)  8 Se 3.67, 4 As 3.69
Sn (0.5000, 0.5000, 0.5000)  2 As 2.58, 4 Se 2.61
As (0.5000, 0.5000, 0.0000)  2 Sn 2.58
Se (0.0000, 0.5000, 0.5000)  2 Sn 2.61
Se (0.5000, 0.0000, 0.5000)  2 Sn 2.61

Computed properties:
Volume = 141 Å³/f.u.
Density = 4.47 g/cm3
Energy = -20.180 eV/atom
Formation energy from raw total energies = 0.624 eV per atom



No. 4
First-principles (meta-GGA SCAN) data for a PBEsol-optimized structure of YAl2Cu, as listed in Alexandria via LeMat-Bulk.

Unit cell a=3.0228 b=3.1407 c=7.3095 alpha=90.00 beta=90.00 gamma=90.00
Closest atoms and distances in Å follow each position.
Positions (direct):
Y (0.0000, 0.0000, 0.0000)  4 Y 3.02-3.14, 8 Al 3.11
Al (0.5000, 0.5000, 0.3040)  4 Cu 2.61, 1 Al 2.87
Al (0.5000, 0.5000, 0.6960)  4 Cu 2.61, 1 Al 2.87
Cu (0.0000, 0.0000, 0.5000)  8 Al 2.61

Computed properties:
Volume = 69 Å³/f.u.
ΔE_f = -0.3225 eV/atom
Density = 4.94 g/cm3
Energy = -14.959 eV/atom



No. 5
First-principles (meta-GGA SCAN) data for a PBEsol-optimized structure of K2Re2Sn, as listed in Alexandria via LeMat-Bulk.

Unit cell a=4.0216 b=4.0216 c=15.2850 alpha=90.00 beta=90.00 gamma=90.00
Closest atoms and distances in Å follow each position.
Positions (direct):
K (0.0000, 0.5000, 0.2500)  4 K 2.84
K (0.0000, 0.5000, 0.7500)  4 K 2.84
K (0.5000, 0.0000, 0.2500)  4 K 2.84
K (0.5000, 0.0000, 0.7500)  4 K 2.84
Re (0.0000, 0.0000, 0.0713)  1 Re 2.18
Re (0.0000, 0.0000, 0.9287)  1 Re 2.18
Re (0.5000, 0.5000, 0.4287)  1 Re 2.18
Re (0.5000, 0.5000, 0.5713)  1 Re 2.18
Sn (0.0000, 0.0000, 0.5000)  8 Re 3.05
Sn (0.5000, 0.5000, 0.0000)  8 Re 3.05

Computed properties:
Volume = 124 Å³/f.u.
ΔE_f = 1.6755 eV/atom
Density = 7.65 g/cm3
Energy = -37.279 eV/atom



No. 6
First-principles (meta-GGA SCAN) data for a PBEsol-optimized structure of Mg3NbRh, as listed in Alexandria via LeMat-Bulk.

Unit cell a=4.7013 b=4.7013 c=4.7013 alpha=90.00 beta=90.00 gamma=90.00
Closest atoms and distances in Å follow each position.
Positions (direct):
Mg (0.0000, 0.0000, 0.5000)  2 Rh 2.35
Mg (0.0000, 0.5000, 0.0000)  2 Rh 2.35
Mg (0.5000, 0.0000, 0.0000)  2 Rh 2.35
Nb (0.5000, 0.5000, 0.5000)  12 Mg 3.32
Rh (0.0000, 0.0000, 0.0000)  6 Mg 2.35

Computed properties:
Volume = 104 Å³/f.u.
ΔE_f = 0.4622 eV/atom
Density = 4.29 g/cm3
Energy = -15.902 eV/atom



No. 7
First-principles (meta-GGA SCAN) data for a PBEsol-optimized structure of La3Tl, as listed in Alexandria via LeMat-Bulk.

Unit cell a=3.7124 b=3.7124 c=9.2080 alpha=90.00 beta=90.00 gamma=90.00
Closest atoms and distances in Å follow each position.
Positions (direct):
La (0.0000, 0.0000, 0.0000)  12 La 3.61-3.71
La (0.5000, 0.5000, 0.2691)  4 Tl 3.38, 8 La 3.61-3.71
La (0.5000, 0.5000, 0.7309)  4 Tl 3.38, 8 La 3.61-3.71
Tl (0.0000, 0.0000, 0.5000)  8 La 3.38, 4 Tl 3.71

Computed properties:
Volume = 127 Å³/f.u.
ΔE_f = -0.2906 eV/atom
Density = 8.13 g/cm3
Energy relative to the lowest polymorph listed for this composition = 37 kJ/mol of formula units
Energy = -50.709 eV/atom



No. 8
First-principles (meta-GGA SCAN) data for a PBEsol-optimized structure of Al4W, as listed in Alexandria via LeMat-Bulk.

Unit cell a=9.2185 b=9.2185 c=5.2005 alpha=92.80 beta=92.80 gamma=146.97
Closest atoms and distances in Å follow each position.
Positions (direct):
Al (0.0000, 0.0000, 0.0000)  5 Al 2.66-2.97, 4 W 2.68-2.82
Al (0.1271, 0.6265, 0.5577)  8 Al 2.62-2.85, 2 W 2.70-2.77
Al (0.1572, 0.9092, 0.2937)  3 W 2.66-2.74, 5 Al 2.66-2.82
Al (0.3059, 0.7754, 0.0675)  8 Al 2.66-2.95, 2 W 2.72-2.79
Al (0.3582, 0.3582, 0.6392)  3 Al 2.64-2.87, 4 W 2.67-2.81
Al (0.4344, 0.5885, 0.1760)  2 W 2.54-2.55, 5 Al 2.73-2.82
Al (0.5507, 0.7873, 0.7035)  3 W 2.63-2.73, 5 Al 2.64-2.82
Al (0.5885, 0.4344, 0.1760)  2 W 2.54-2.55, 5 Al 2.73-2.82
Al (0.6265, 0.1271, 0.5577)  8 Al 2.62-2.85, 2 W 2.70-2.77
Al (0.7754, 0.3059, 0.0675)  8 Al 2.66-2.95, 2 W 2.72-2.79
Al (0.7873, 0.5507, 0.7035)  3 W 2.63-2.73, 5 Al 2.64-2.82
Al (0.9092, 0.1572, 0.2937)  3 W 2.66-2.74, 5 Al 2.66-2.82
W (0.0464, 0.3196, 0.8165)  11 Al 2.54-2.82
W (0.3196, 0.0464, 0.8165)  11 Al 2.54-2.82
W (0.8455, 0.8455, 0.4808)  10 Al 2.55-2.81

Computed properties:
Volume = 79 Å³/f.u.
ΔE_f = -0.1492 eV/atom
Density = 6.13 g/cm3
Energy = -20.288 eV/atom



No. 9
First-principles (meta-GGA SCAN) data for a PBEsol-optimized structure of K2DyAgCl6, as listed in Alexandria via LeMat-Bulk.

Unit cell a=7.3944 b=7.3944 c=7.3944 alpha=60.00 beta=60.00 gamma=60.00
Closest atoms and distances in Å follow each position.
Positions (direct):
K (0.2500, 0.2500, 0.2500)  12 Cl 3.70
K (0.7500, 0.7500, 0.7500)  12 Cl 3.70
Dy (0.0000, 0.0000, 0.0000)  6 Cl 2.59
Ag (0.5000, 0.5000, 0.5000)  6 Cl 2.64
Cl (0.2476, 0.2476, 0.7524)  1 Dy 2.59, 1 Ag 2.64
Cl (0.2476, 0.7524, 0.2476)  1 Dy 2.59, 1 Ag 2.64
Cl (0.2476, 0.7524, 0.7524)  1 Dy 2.59, 1 Ag 2.64
Cl (0.7524, 0.2476, 0.2476)  1 Dy 2.59, 1 Ag 2.64
Cl (0.7524, 0.2476, 0.7524)  1 Dy 2.59, 1 Ag 2.64
Cl (0.7524, 0.7524, 0.2476)  1 Dy 2.59, 1 Ag 2.64

Computed properties:
Volume = 286 Å³/f.u.
Density = 3.26 g/cm3
Energy = -16.356 eV/atom
Formation energy from raw total energies = -1.987 eV per atom



No. 10
First-principles (meta-GGA SCAN) data for a PBEsol-optimized structure of ZnAg2P, as listed in Alexandria via LeMat-Bulk.

Unit cell a=3.9102 b=3.9197 c=8.1730 alpha=90.00 beta=90.00 gamma=90.00
Closest atoms and distances in Å follow each position.
Positions (direct):
Zn (0.0000, 0.0000, 0.0000)  8 Ag 2.77, 4 Zn 2.77
Zn (0.5000, 0.5000, 0.0000)  8 Ag 2.77, 4 Zn 2.77
Ag (0.0000, 0.5000, 0.2396)  4 Zn 2.77, 4 Ag 2.77, 4 P 2.89
Ag (0.0000, 0.5000, 0.7604)  4 Zn 2.77, 4 Ag 2.77, 4 P 2.89
Ag (0.5000, 0.0000, 0.2396)  4 Zn 2.77, 4 Ag 2.77, 4 P 2.89
Ag (0.5000, 0.0000, 0.7604)  4 Zn 2.77, 4 Ag 2.77, 4 P 2.89
P (0.0000, 0.0000, 0.5000)  4 P 2.77, 8 Ag 2.89
P (0.5000, 0.5000, 0.5000)  4 P 2.77, 8 Ag 2.89

Computed properties:
Volume = 63 Å³/f.u.
ΔE_f = 0.2450 eV/atom
Density = 8.28 g/cm3
Energy relative to the lowest polymorph listed for this composition = 24 kJ/mol of formula units
Energy = -21.417 eV/atom



No. 11
First-principles (meta-GGA SCAN) data for a PBEsol-optimized structure of GaAg2OF, as listed in Alexandria via LeMat-Bulk.

Unit cell a=4.2012 b=4.2012 c=4.6454 alpha=90.00 beta=90.00 gamma=90.00
Closest atoms and distances in Å follow each position.
Positions (direct):
Ga (0.0000, 0.0000, 0.0000)  4 O 2.97, 8 Ag 3.13
Ag (0.0000, 0.5000, 0.5000)  2 F 2.10
Ag (0.5000, 0.0000, 0.5000)  2 F 2.10
O (0.5000, 0.5000, 0.0000)  2 F 2.32
F (0.5000, 0.5000, 0.5000)  4 Ag 2.10, 2 O 2.32

Computed properties:
Volume = 82 Å³/f.u.
Density = 6.49 g/cm3
Energy = -17.631 eV/atom
Formation energy from raw total energies = 0.139 eV per atom



No. 12
First-principles (meta-GGA SCAN) data for a PBEsol-optimized structure of TlBi2Sb, as listed in Alexandria via LeMat-Bulk.

Unit cell a=7.6914 b=7.6914 c=7.6914 alpha=90.00 beta=90.00 gamma=90.00
Closest atoms and distances in Å follow each position.
Positions (direct):
Tl (0.0000, 0.0000, 0.0000)  8 Bi 3.33
Tl (0.0000, 0.5000, 0.5000)  8 Bi 3.33
Tl (0.5000, 0.0000, 0.5000)  8 Bi 3.33
Tl (0.5000, 0.5000, 0.0000)  8 Bi 3.33
Bi (0.2500, 0.2500, 0.2500)  4 Tl 3.33, 4 Sb 3.33
Bi (0.2500, 0.2500, 0.7500)  4 Tl 3.33, 4 Sb 3.33
Bi (0.2500, 0.7500, 0.2500)  4 Tl 3.33, 4 Sb 3.33
Bi (0.2500, 0.7500, 0.7500)  4 Tl 3.33, 4 Sb 3.33
Bi (0.7500, 0.2500, 0.2500)  4 Tl 3.33, 4 Sb 3.33
Bi (0.7500, 0.2500, 0.7500)  4 Tl 3.33, 4 Sb 3.33
Bi (0.7500, 0.7500, 0.2500)  4 Tl 3.33, 4 Sb 3.33
Bi (0.7500, 0.7500, 0.7500)  4 Tl 3.33, 4 Sb 3.33
Sb (0.0000, 0.0000, 0.5000)  8 Bi 3.33
Sb (0.0000, 0.5000, 0.0000)  8 Bi 3.33
Sb (0.5000, 0.0000, 0.0000)  8 Bi 3.33
Sb (0.5000, 0.5000, 0.5000)  8 Bi 3.33

Computed properties:
Volume = 114 Å³/f.u.
Density = 10.86 g/cm3
Energy = -66.508 eV/atom
Formation energy from raw total energies = 0.187 eV per atom